LiAc2In6Pb, relaxed, DFT GGA-PBE; space-group type = R-3m; formation energy from the elements = -19.29 kJ/mol of atoms; V = 590 Å³/cell; electronic total energy = -64.5 eV for the cell shown
1.0
-2.124 -6.909 -1.000
0.200 -2.949 -6.672
11.325 -7.272 -0.436
Li Ac In Pb
2 4 12 2
Direct
0.000 0.000 0.000
0.500 0.500 0.500
0.895 0.895 0.315
0.105 0.105 0.685
0.721 0.721 0.837
0.279 0.279 0.163
0.924 0.328 0.420
0.328 0.924 0.420
0.328 0.328 0.420
0.076 0.672 0.580
0.672 0.076 0.580
0.672 0.672 0.580
0.656 0.215 0.913
0.215 0.656 0.913
0.215 0.215 0.913
0.344 0.785 0.087
0.785 0.344 0.087
0.785 0.785 0.087
0.574 0.574 0.278
0.426 0.426 0.722